[1]
DFT (PBE) results for an optimized crystal structure of V5Fe2NiIr2.

Calculated values
The value obtained for the energy relative to the elements is -12.1 meV per atom. As for the space group: No. 127.

Unit cell a=9.509 b=9.509 c=2.907 alpha=90.00 beta=90.00 gamma=90.00
Element x y z (fractional)
V1 0.000 0.500 0.000
V2 0.080 0.192 0.000
V3 0.192 0.920 0.000
V4 0.308 0.420 0.000
V5 0.420 0.692 0.000
V6 0.500 0.000 0.000
V7 0.580 0.308 0.000
V8 0.692 0.580 0.000
V9 0.808 0.080 0.000
V10 0.920 0.808 0.000
Fe1 0.131 0.369 0.500
Fe2 0.369 0.869 0.500
Fe3 0.631 0.131 0.500
Fe4 0.869 0.631 0.500
Ni1 0.000 0.000 0.500
Ni2 0.500 0.500 0.500
Ir1 0.170 0.670 0.500
Ir2 0.330 0.170 0.500
Ir3 0.670 0.830 0.500
Ir4 0.830 0.330 0.500



[2]
DFT (PBE) results for an optimized crystal structure of LaYAg2.

Calculated values
The value obtained for the energy relative to the elements is -276.3 meV per atom. As for the space group: No. 123.

Unit cell a=5.326 b=5.326 c=3.677 alpha=90.00 beta=90.00 gamma=90.00
Element x y z (fractional)
La1 0.000 0.000 0.000
Y1 0.500 0.500 0.000
Ag1 0.000 0.500 0.500
Ag2 0.500 0.000 0.500



[3]
DFT (PBE) results for an optimized crystal structure of AlTcSbTe2.

Calculated values
The formation energy (no corrections) is 0.583 eV per atom. As for the relative energy among the computed polymorphs: 0 meV/atom. As for the space group: No. 123.

Unit cell a=5.328 b=5.328 c=5.101 alpha=90.00 beta=90.00 gamma=90.00
Element x y z (fractional)
Al1 0.000 0.000 0.000
Tc1 0.500 0.500 0.500
Sb1 0.500 0.500 0.000
Te1 0.000 0.500 0.500
Te2 0.500 0.000 0.500



[4]
DFT (PBE) results for an optimized crystal structure of ZnSiPt.

Calculated values
The formation energy (no corrections) is -0.186 eV per atom. As for the space group: No. 107.

Unit cell a=5.893 b=5.893 c=5.893 alpha=151.94 beta=151.94 gamma=40.10
Element x y z (fractional)
Zn1 0.000 0.000 0.000
Si1 0.321 0.321 0.000
Pt1 0.677 0.677 0.000



Number 2 is which compound? LaYAg2